52
Lattice="6.192 0.000 0.000 0.000 7.697 0.000 0.000 0.000 13.812" Properties=species:S:1:pos:R:3 comment="Mn2P2O9 | the Alexandria database | PBE+U | relaxed" mass_density_g_cm3=3.19 e_tot_ev_per_cell=-370.83 volume_a3_per_atom=12.660 pbc="T T T"
P 4.644 6.554 6.063
P 1.548 7.066 2.685
P 4.644 4.992 12.969
P 4.644 0.632 11.127
P 1.548 4.480 9.591
P 1.548 2.705 0.843
P 4.644 3.217 4.221
P 1.548 1.143 7.749
O 4.644 6.401 13.780
O 1.548 3.532 10.840
O 0.272 4.299 8.739
O 1.548 0.004 6.764
O 3.368 3.398 5.073
O 1.548 5.847 10.365
O 4.644 1.850 3.447
O 2.761 2.646 1.765
O 2.824 7.247 1.833
O 4.644 4.166 2.972
O 3.368 0.450 11.979
O 5.920 3.398 5.073
O 0.272 7.247 1.833
O 2.761 1.202 8.671
O 4.644 3.853 0.142
O 1.548 2.552 6.938
O 3.431 5.051 12.047
O 1.548 3.844 13.671
O 4.644 7.380 9.878
O 2.824 4.299 8.739
O 1.548 5.699 3.459
O 0.335 1.202 8.671
O 1.548 4.980 6.438
O 5.920 0.450 11.979
O 1.548 6.566 13.344
O 4.644 1.998 10.353
O 5.857 5.051 12.047
O 4.644 5.145 6.874
O 4.644 2.718 7.374
O 1.548 1.297 0.032
O 5.857 6.495 5.141
O 1.548 0.317 3.934
O 3.431 6.495 5.141
O 4.644 7.693 7.048
O 4.644 1.131 0.468
O 0.335 2.646 1.765
Mn 4.644 1.156 8.598
Mn 1.548 6.541 5.214
Mn 3.096 3.849 6.906
Mn 3.096 0.000 0.000
Mn 4.644 2.693 1.692
Mn 1.548 5.005 12.120
Mn 0.000 3.849 6.906
Mn 0.000 0.000 0.000